TlOsCl2 PBE relaxed; total magnetic moment = 1.64 μB/cell; electronic total energy = -0.25815 Ry per atom; space-group type = Pmmm, No. 47; energy relative to the elements, uncorrected = 0.81 eV/atom
1.0
3.119 0.000 0.000
0.000 4.581 0.000
0.000 0.000 5.685
Tl Os Cl
1 1 2
Cartesian
0.000 0.000 0.000
1.559 0.000 2.843
0.000 2.291 2.843
1.559 2.291 0.000


TlOsCl2 PBE relaxed; total magnetic moment = 1.38 μB/cell; electronic total energy = -0.27949 Ry per atom; space-group type = I-42d, No. 122; energy relative to the elements, uncorrected = 0.52 eV/atom
1.0
-2.943 2.943 6.618
2.943 -2.943 6.618
2.943 2.943 -6.618
Tl Os Cl
2 2 4
Cartesian
0.000 0.000 0.000
0.000 2.943 3.309
2.943 0.000 3.309
0.000 0.000 6.618
1.472 -0.744 4.964
2.199 1.472 1.655
1.472 3.688 -1.655
0.744 1.472 8.273


TlOs2Cl PBE relaxed; total magnetic moment = 0.00 μB/cell; electronic total energy = -0.38682 Ry per atom; space-group type = I4/mmm, No. 139; energy relative to the elements, uncorrected = 1.41 eV/atom
1.0
-1.834 1.834 6.740
1.834 -1.834 6.740
1.834 1.834 -6.740
Tl Os Cl
1 2 1
Cartesian
0.000 0.000 0.000
1.834 0.000 3.370
0.000 1.834 3.370
0.000 0.000 6.740


TlOsCl2 PBE relaxed; total magnetic moment = 3.21 μB/cell; electronic total energy = -0.25223 Ry per atom; space-group type = Fm-3m, No. 225; energy relative to the elements, uncorrected = 0.89 eV/atom
1.0
0.000 3.558 3.558
3.558 0.000 3.558
3.558 3.558 0.000
Tl Os Cl
1 1 2
Cartesian
0.000 0.000 0.000
3.558 3.558 3.558
1.779 1.779 1.779
5.337 5.337 5.337


TlOs2Cl PBE relaxed; total magnetic moment = 0.00 μB/cell; electronic total energy = -0.40283 Ry per atom; space-group type = Pmmm, No. 47; energy relative to the elements, uncorrected = 1.19 eV/atom
1.0
2.880 0.000 0.000
0.000 4.772 0.000
0.000 0.000 5.033
Tl Os Cl
1 2 1
Cartesian
0.000 0.000 0.000
0.000 2.386 2.517
1.440 2.386 0.000
1.440 0.000 2.517


TlOsCl2 PBE relaxed; total magnetic moment = 3.02 μB/cell; electronic total energy = -0.23935 Ry per atom; space-group type = F-43m, No. 216; energy relative to the elements, uncorrected = 1.07 eV/atom
1.0
0.000 3.520 3.520
3.520 0.000 3.520
3.520 3.520 0.000
Tl Os Cl
1 1 2
Cartesian
0.000 0.000 0.000
1.760 1.760 1.760
3.520 3.520 3.520
5.281 5.281 5.281